This record from Alexandria via LeMat-Bulk describes a relaxed structure of Pm6Y2Cd. The functional is PBE.

Computed properties:
crystal system: triclinic
symmetry: P-1

a = 6.3949 Å, b = 11.4073 Å, c = 12.3808 Å
α = 43.80°, β = 71.20°, γ = 75.01°
Sites, in units of the cell vectors:
1 Pm 0.7306 0.7496 0.9626
2 Pm 0.8752 0.2051 0.9088
3 Pm 0.9457 0.6187 0.7559
4 Pm 0.0543 0.3812 0.2441
5 Pm 0.5334 0.5618 0.6424
6 Pm 0.9065 0.8975 0.3393
7 Pm 0.4667 0.4382 0.3576
8 Pm 0.4830 0.1676 0.7705
9 Pm 0.2694 0.2504 0.0374
10 Pm 0.0935 0.1025 0.6606
11 Pm 0.1248 0.7949 0.0912
12 Pm 0.5170 0.8325 0.2295
13 Y 0.3458 0.6815 0.8555
14 Y 0.6542 0.3185 0.1445
15 Y 0.6984 0.0265 0.5567
16 Y 0.3016 0.9735 0.4433
17 Cd 0.8533 0.4814 0.4447
18 Cd 0.1467 0.5186 0.5553


This record from Alexandria via LeMat-Bulk describes a relaxed structure of Pm3Y2Cd4. The functional is PBE.

Computed properties:
crystal system: orthorhombic
symmetry: Cmce

a = 6.6750 Å, b = 8.1479 Å, c = 10.2964 Å
α = 90.00°, β = 108.91°, γ = 90.00°
Sites, in units of the cell vectors:
1 Cd 0.1561 0.9778 0.3123
2 Cd 0.3279 0.2500 0.1559
3 Cd 0.6561 0.5222 0.3123
4 Cd 0.8279 0.2500 0.1559
5 Cd 0.8439 0.0222 0.6877
6 Cd 0.6721 0.7500 0.8441
7 Cd 0.3439 0.4778 0.6877
8 Cd 0.1721 0.7500 0.8441
9 Y 0.0902 0.5990 0.1804
10 Y 0.5902 0.9010 0.1804
11 Y 0.4098 0.0990 0.8196
12 Y 0.9098 0.4010 0.8196
13 Pm 0.5050 0.7500 0.5101
14 Pm 0.0050 0.7500 0.5101
15 Pm 0.5000 0.5000 0.0000
16 Pm 0.0000 0.0000 0.0000
17 Pm 0.4950 0.2500 0.4899
18 Pm 0.9950 0.2500 0.4899


This record from Alexandria via LeMat-Bulk describes a relaxed structure of PmY4Cd2. The functional is PBE.

Computed properties:
crystal system: trigonal
symmetry: R-3m

a = 5.1178 Å, b = 5.1178 Å, c = 10.7345 Å
α = 76.21°, β = 76.21°, γ = 60.00°
Site moments in Bohr magnetons follow the coordinates.
Sites, in units of the cell vectors:
1 Y 0.8939 0.8939 0.3184  0.08
2 Y 0.1061 0.1061 0.6816  0.08
3 Y 0.2971 0.2971 0.1086  0.01
4 Y 0.7029 0.7029 0.8914  0.01
5 Pm 0.5000 0.5000 0.5000  0.16
6 Cd 0.6008 0.6008 0.1975  0.00
7 Cd 0.3992 0.3992 0.8025  0.00


This record from Alexandria via LeMat-Bulk describes a relaxed structure of Pm2Y3Cd4. The functional is PBE.

Computed properties:
crystal system: orthorhombic
symmetry: Cmce

a = 6.8627 Å, b = 8.1774 Å, c = 9.9177 Å
α = 90.00°, β = 110.24°, γ = 90.00°
Sites, in units of the cell vectors:
1 Pm 0.5923 0.9016 0.1846
2 Pm 0.4077 0.0984 0.8154
3 Pm 0.9077 0.4016 0.8154
4 Pm 0.0923 0.5984 0.1846
5 Cd 0.8251 0.2500 0.1502
6 Cd 0.1749 0.7500 0.8498
7 Cd 0.3251 0.2500 0.1502
8 Cd 0.8381 0.0150 0.6762
9 Cd 0.3381 0.4850 0.6762
10 Cd 0.6749 0.7500 0.8498
11 Cd 0.1619 0.9850 0.3238
12 Cd 0.6619 0.5150 0.3238
13 Y 0.5000 0.5000 0.0000
14 Y 0.5042 0.7500 0.5083
15 Y 0.9958 0.2500 0.4917
16 Y 0.0000 0.0000 0.0000
17 Y 0.0042 0.7500 0.5083
18 Y 0.4958 0.2500 0.4917


This record from Alexandria via LeMat-Bulk describes a relaxed structure of Pm2Y3Cd3. The functional is PBE.

Computed properties:
crystal system: orthorhombic
symmetry: Immm

a = 3.7834 Å, b = 5.3548 Å, c = 11.7185 Å
α = 103.21°, β = 99.29°, γ = 90.00°
Sites, in units of the cell vectors:
1 Y 0.5000 0.0000 0.0000
2 Y 0.6205 0.6205 0.2410
3 Y 0.3795 0.3795 0.7590
4 Pm 0.2680 0.7680 0.5361
5 Pm 0.7320 0.2320 0.4639
6 Cd 0.0000 0.5000 0.0000
7 Cd 0.1141 0.1141 0.2283
8 Cd 0.8859 0.8859 0.7717


This record from Alexandria via LeMat-Bulk describes a relaxed structure of PmY6Cd. The functional is PBE.

Computed properties:
crystal system: trigonal
symmetry: R-3

a = 8.5912 Å, b = 9.3479 Å, c = 6.3486 Å
α = 42.56°, β = 47.42°, γ = 57.00°
Sites, in units of the cell vectors:
1 Cd 0.0000 0.0000 0.0000
2 Pm 0.5000 0.5000 0.5000
3 Y 0.4480 0.7601 0.7506
4 Y 0.2399 0.0412 0.1667
5 Y 0.0414 0.4479 0.2706
6 Y 0.5520 0.2399 0.2494
7 Y 0.7601 0.9588 0.8333
8 Y 0.9586 0.5521 0.7294


We obtain formation energy from the elements values of -0.04, -0.14, 0.19, -0.18, -0.25, 0.04 eV/atom for the records listed above, in that order.
We obtain size of the total moment values of 0.00, 0.00, 0.60, 0.00, 0.00, 0.00 Bohr magnetons per cell for the records listed above, in that order.